No. 1
Density functional theory data (GGA-PBE) for Li2LaOs after structural relaxation.

## Properties
Calculated formation energy, eV/atom: 0.5239
Space-group type: Cmmm

Cell and atoms, written as POSCAR:
```
Li2LaOs
1.0
1.465 -2.451 0.000
1.465 2.451 0.000
0.000 0.000 10.603
Li La Os
2 1 1
Cartesian
0.000 0.000 2.151
0.000 0.000 8.452
1.465 0.000 5.301
1.465 0.000 0.000
```



No. 2
Density functional theory data (GGA-PBE) for LiLaOs2 after structural relaxation.

## Properties
Calculated formation energy, eV/atom: 0.7055
Space-group type: Fm-3m

Cell and atoms, written as POSCAR:
```
LiLaOs2
1.0
0.000 3.262 3.262
3.262 0.000 3.262
3.262 3.262 0.000
Li La Os
1 1 2
Cartesian
0.000 0.000 0.000
3.262 3.262 3.262
1.631 1.631 1.631
4.893 4.893 4.893
```



No. 3
Density functional theory data (GGA-PBE) for Li2LaOs after structural relaxation.

## Properties
Calculated formation energy, eV/atom: 0.5367
Space-group type: R-3m

Cell and atoms, written as POSCAR:
```
Li2LaOs
1.0
1.445 0.834 10.507
-1.445 0.834 10.507
0.000 -1.669 10.507
Li La Os
2 1 1
Cartesian
0.000 0.000 7.392
0.000 0.000 24.129
0.000 0.000 0.000
0.000 0.000 15.761
```



No. 4
Density functional theory data (GGA-PBE) for Li3LaOs after structural relaxation.

## Properties
Calculated formation energy, eV/atom: 1.8959
Space-group type: Pm-3m

Cell and atoms, written as POSCAR:
```
Li3LaOs
1.0
4.571 0.000 0.000
0.000 4.571 0.000
0.000 0.000 4.571
Li La Os
3 1 1
Cartesian
0.000 0.000 2.286
0.000 2.286 0.000
2.286 0.000 0.000
0.000 0.000 0.000
2.286 2.286 2.286
```



No. 5
Density functional theory data (GGA-PBE) for LiLaOs3 after structural relaxation.

## Properties
Calculated formation energy, eV/atom: 2.6066
Space-group type: Pm-3m

Cell and atoms, written as POSCAR:
```
LiLaOs3
1.0
4.938 0.000 0.000
0.000 4.938 0.000
0.000 0.000 4.938
Li La Os
1 1 3
Cartesian
0.000 0.000 0.000
2.469 2.469 2.469
0.000 2.469 2.469
2.469 0.000 2.469
2.469 2.469 0.000
```



No. 6
Density functional theory data (GGA-PBE) for Li2LaOs after structural relaxation.

## Properties
Calculated formation energy, eV/atom: 0.3387
Space-group type: C2/m

Cell and atoms, written as POSCAR:
```
Li2LaOs
1.0
2.748 -5.069 0.000
2.748 5.069 0.000
-1.095 0.000 2.774
Li La Os
2 1 1
Cartesian
1.374 2.534 0.000
1.374 -2.534 0.000
-0.548 0.000 1.387
2.201 0.000 1.387
```



No. 7
Density functional theory data (GGA-PBE) for LiLa2Os after structural relaxation.

## Properties
Calculated formation energy, eV/atom: 0.2025
Space-group type: F-43m

Cell and atoms, written as POSCAR:
```
LiLa2Os
1.0
0.000 3.507 3.507
3.507 0.000 3.507
3.507 3.507 0.000
Li La Os
1 2 1
Cartesian
0.000 0.000 0.000
3.507 3.507 3.507
5.261 5.261 5.261
1.754 1.754 1.754
```



No. 8
Density functional theory data (GGA-PBE) for LiLa2Os after structural relaxation.

## Properties
Calculated formation energy, eV/atom: 0.0854
Space-group type: Imm2

Cell and atoms, written as POSCAR:
```
LiLa2Os
1.0
-1.754 2.490 6.125
1.754 -2.490 6.125
1.754 2.490 -6.125
Li La Os
1 2 1
Cartesian
0.000 0.000 0.000
1.754 0.000 4.147
0.000 0.000 7.837
0.000 2.490 3.967
```



No. 9
Density functional theory data (GGA-PBE) for LiLaOs2 after structural relaxation.

## Properties
Calculated formation energy, eV/atom: 0.4650
Space-group type: I-42d

Cell and atoms, written as POSCAR:
```
LiLaOs2
1.0
-2.160 2.160 9.080
2.160 -2.160 9.080
2.160 2.160 -9.080
Li La Os
2 2 4
Cartesian
0.000 0.000 0.000
0.000 2.160 4.540
2.160 0.000 4.540
0.000 0.000 9.080
-0.536 1.080 2.270
1.080 1.624 6.810
0.536 3.240 2.270
-1.080 2.697 6.810
```



No. 10
Density functional theory data (GGA-PBE) for Li2LaOs after structural relaxation.

## Properties
Calculated formation energy, eV/atom: 0.1485
Space-group type: C2/m

Cell and atoms, written as POSCAR:
```
Li2LaOs
1.0
5.378 -1.736 0.000
5.378 1.736 0.000
-1.943 0.000 4.198
Li La Os
2 1 1
Cartesian
1.929 0.000 0.904
6.883 0.000 3.294
-0.972 0.000 2.099
5.378 0.000 0.000
```



No. 11
Density functional theory data (GGA-PBE) for LiLa2Os after structural relaxation.

## Properties
Calculated formation energy, eV/atom: 0.4973
Space-group type: R3m

Cell and atoms, written as POSCAR:
```
LiLa2Os
1.0
1.774 1.024 9.555
-1.774 1.024 9.555
0.000 -2.048 9.555
Li La Os
1 2 1
Cartesian
0.000 0.000 0.000
0.000 0.000 15.576
0.000 0.000 21.841
0.000 0.000 7.922
```



No. 12
Density functional theory data (GGA-PBE) for LiLaOs2 after structural relaxation.

## Properties
Calculated formation energy, eV/atom: 0.4746
Space-group type: Pmmm

Cell and atoms, written as POSCAR:
```
LiLaOs2
1.0
3.055 0.000 0.000
0.000 4.686 0.000
0.000 0.000 4.877
Li La Os
1 1 2
Cartesian
0.000 0.000 0.000
1.528 2.343 0.000
0.000 2.343 2.439
1.528 0.000 2.439
```